1.
Material: KV2I6
Method: DFT, PBE-GGA
State: relaxed

```
KV2I6
1.0
7.314 0.000 0.000
-3.657 6.334 0.000
0.000 0.000 7.829
K V I
1 2 6
Cartesian
0.000 0.000 0.000 K
0.000 4.223 3.915 V
3.657 2.111 3.915 V
-1.363 2.361 5.509 I
-2.294 3.973 2.320 I
2.727 0.000 5.509 I
1.363 2.361 2.320 I
4.587 0.000 2.320 I
2.294 3.973 5.509 I
```

ΔE_f (raw) = -0.685 eV/atom
spin magnetization = 5.000 μB per formula unit
D(E_F) = 10.4 states/eV per cell
symmetry = P-31m (162)


2.
Material: ZnPt3Rh2
Method: DFT, PBE-GGA
State: relaxed

```
ZnPt3Rh2
1.0
6.419 -2.711 0.000
6.419 2.711 0.000
-1.200 0.000 5.291
Zn Pt Rh
2 6 4
Cartesian
5.519 1.373 3.969 Zn
6.119 -1.373 1.323 Zn
1.389 0.004 3.052 Pt
1.989 -0.004 0.407 Pt
6.119 1.341 1.323 Pt
5.519 -1.341 3.969 Pt
9.648 0.004 4.885 Pt
10.248 -0.004 2.239 Pt
3.318 0.005 4.850 Rh
3.917 -0.005 2.205 Rh
7.720 0.005 3.087 Rh
8.320 -0.005 0.441 Rh
```

spin magnetization = 0.000 μB per formula unit
D(E_F) = 12.2 states/eV per cell
energy relative to the elements = -63.0 meV per atom
symmetry = C2/c (15)


3.
Material: Cs2BaV2S6
Method: DFT, PBE-GGA
State: relaxed

```
Cs2BaV2S6
1.0
3.805 2.197 7.813
-3.805 2.197 7.813
0.000 -4.393 7.813
Cs Ba V S
2 1 2 6
Cartesian
0.000 0.000 5.142 Cs
0.000 0.000 18.296 Cs
0.000 0.000 0.000 Ba
0.000 0.000 10.373 V
0.000 0.000 13.064 V
-1.802 -1.041 13.508 S
0.000 -2.081 9.930 S
-1.802 1.041 9.930 S
1.802 -1.041 13.508 S
0.000 2.081 13.508 S
1.802 1.041 9.930 S
```

ΔE_f (raw) = -1.121 eV/atom
spin magnetization = 0.086 μB per formula unit
symmetry = R-3m (166)


4.
Material: BaSrZnPb
Method: DFT, PBE-GGA
State: relaxed

```
BaSrZnPb
1.0
8.282 0.000 0.000
0.000 8.282 0.000
0.000 0.000 8.282
Ba Sr Zn Pb
4 4 4 4
Cartesian
0.000 0.000 0.000 Ba
0.000 4.141 4.141 Ba
4.141 0.000 4.141 Ba
4.141 4.141 0.000 Ba
0.000 0.000 4.141 Sr
0.000 4.141 0.000 Sr
4.141 0.000 0.000 Sr
4.141 4.141 4.141 Sr
2.070 2.070 2.070 Zn
2.070 6.211 6.211 Zn
6.211 2.070 6.211 Zn
6.211 6.211 2.070 Zn
2.070 2.070 6.211 Pb
2.070 6.211 2.070 Pb
6.211 2.070 2.070 Pb
6.211 6.211 6.211 Pb
```

spin magnetization = 0.000 μB per formula unit
D(E_F) = 2.9 states/eV per cell
energy relative to the elements = -413.5 meV per atom
symmetry = F-43m (216)